DFT (PBE) results for crystalline SrCd2Ru at its relaxed geometry.

POSCAR file:
```
SrCd2Ru
1.0
-2.2277 2.2277 4.4728
2.2277 -2.2277 4.4728
2.2277 2.2277 -4.4728
Sr Cd Ru
1 2 1
Direct
0.0000 0.0000 0.0000
0.2500 0.7500 0.5000
0.7500 0.2500 0.5000
0.5000 0.5000 0.0000
```

Calculated values
size of the total moment = 0.0 μB per formula unit
energy of formation = 0.21 eV per atom
SG = I4/mmm



DFT (PBE) results for crystalline SrPu2N at its relaxed geometry.

POSCAR file:
```
SrPu2N
1.0
2.0319 1.1731 7.3048
-2.0319 1.1731 7.3048
0.0000 -2.3462 7.3048
Sr Pu N
1 2 1
Direct
0.0000 0.0000 0.0000
0.1531 0.1531 0.1531
0.8469 0.8469 0.8469
0.5000 0.5000 0.5000
```

Calculated values
size of the total moment = 1.1 μB per formula unit
E_form (uncorrected) = 0.217 eV/atom
SG = R-3m



DFT (PBE) results for crystalline Pm2HoCu at its relaxed geometry.

POSCAR file:
```
Pm2HoCu
1.0
1.7492 1.0099 11.3599
-1.7492 1.0099 11.3599
0.0000 -2.0198 11.3599
Pm Ho Cu
2 1 1
Direct
0.0822 0.0822 0.0822
0.9178 0.9178 0.9178
0.5000 0.5000 0.5000
0.0000 0.0000 0.0000
```

Calculated values
size of the total moment = 0.0 μB per formula unit
distance to the lowest polymorph of the same formula = 498 meV per atom
energy of formation = 0.42 eV per atom
SG = R-3m